A plane-wave DFT calculation with PBE-GGA was carried out for an optimized crystal structure of MnHg2Pt.

Lattice parameters (Å, degrees): 4.2130 4.2130 8.2083 90.00 90.00 90.00
Last column: nearest neighbours and their distance in Å.
Space group I4/mmm (No. 139)
Inequivalent atoms, fractional coordinates:
Mn (0.0000, 0.0000, 0.0000) (multiplicity 2)  8 Hg 2.94, 4 Pt 2.98
Hg (0.0000, 0.5000, 0.2500) (multiplicity 4)  4 Mn 2.94, 4 Pt 2.94, 4 Hg 2.98
Pt (0.0000, 0.0000, 0.5000) (multiplicity 2)  8 Hg 2.94, 4 Mn 2.98

Properties
Its spin magnetization is 4.2 μB per formula unit. The value obtained for the density of states at the Fermi level is 4.52 states/eV/cell. The calculated formation energy comes out at 0.0972 eV/atom. The value obtained for the energy above the most stable polymorph in this dataset is 77 meV/atom.

A plane-wave DFT calculation with PBE-GGA was carried out for an optimized crystal structure of Mn2HgPt.

Lattice parameters (Å, degrees): 3.9986 3.9986 8.2043 90.00 90.00 90.00
Last column: nearest neighbours and their distance in Å.
Space group I-4m2 (No. 119)
Inequivalent atoms, fractional coordinates:
Mn (0.0000, 0.0000, 0.0000) (multiplicity 2)  4 Pt 2.83, 4 Hg 2.86, 4 Mn 2.86
Mn (0.0000, 0.5000, 0.2500) (multiplicity 2)  4 Hg 2.83, 4 Mn 2.86, 4 Pt 2.86
Hg (0.0000, 0.5000, 0.7500) (multiplicity 2)  8 Mn 2.83-2.86, 4 Pt 2.86
Pt (0.0000, 0.0000, 0.5000) (multiplicity 2)  8 Mn 2.83-2.86, 4 Hg 2.86

Properties
Its spin magnetization is 8.1 μB per formula unit. The value obtained for the density of states at the Fermi level is 4.76 states/eV/cell. The calculated formation energy comes out at 0.0413 eV/atom.

A plane-wave DFT calculation with PBE-GGA was carried out for an optimized crystal structure of MnHg2Pt.

Lattice parameters (Å, degrees): 10.2900 3.2225 4.7699 90.00 107.94 90.00
Last column: nearest neighbours and their distance in Å.
Space group Cm (No. 8)
Inequivalent atoms, fractional coordinates:
Mn (0.0000, 0.0000, 0.0000) (multiplicity 2)  2 Pt 2.60, 4 Hg 2.90-2.91
Hg (0.0392, 0.5000, 0.5268) (multiplicity 2)  4 Mn 2.90-2.91, 3 Pt 2.93-3.03, 3 Hg 3.05-3.22
Hg (0.2516, 0.5000, 0.2008) (multiplicity 2)  4 Pt 2.90-2.94, 3 Mn 2.95-2.99, 3 Hg 3.05-3.22
Pt (0.3007, 0.0000, 0.7391) (multiplicity 2)  2 Mn 2.60, 2 Hg 2.90

Properties
Its spin magnetization is 4.2 μB per formula unit. The value obtained for the density of states at the Fermi level is 4.35 states/eV/cell. The calculated formation energy comes out at 0.1219 eV/atom. The value obtained for the energy above the most stable polymorph in this dataset is 101 meV/atom.

A plane-wave DFT calculation with PBE-GGA was carried out for an optimized crystal structure of Mn2HgPt.

Lattice parameters (Å, degrees): 2.9817 2.9817 26.2992 90.00 90.00 120.00
Last column: nearest neighbours and their distance in Å.
Space group R-3m (No. 166, hexagonal axes)
Inequivalent atoms, fractional coordinates:
Mn (0.0000, 0.0000, 0.2450) (multiplicity 6)  3 Pt 2.69, 3 Hg 2.89, 6 Mn 2.98
Hg (0.0000, 0.0000, 0.0000) (multiplicity 3)  6 Mn 2.89, 6 Hg 2.98
Pt (0.0000, 0.0000, 0.5000) (multiplicity 3)  6 Mn 2.69, 6 Pt 2.98

Properties
Its spin magnetization is 7.9 μB per formula unit. The value obtained for the density of states at the Fermi level is 5.49 states/eV/cell. The calculated formation energy comes out at 0.1377 eV/atom.

A plane-wave DFT calculation with PBE-GGA was carried out for an optimized crystal structure of MnHgPt2.

Lattice parameters (Å, degrees): 4.1438 4.1438 3.8794 90.00 90.00 90.00
Last column: nearest neighbours and their distance in Å.
Space group P4/mmm (No. 123)
Inequivalent atoms, fractional coordinates:
Mn (0.0000, 0.0000, 0.0000) (multiplicity 1)  8 Pt 2.84, 4 Hg 2.93
Hg (0.5000, 0.5000, 0.0000) (multiplicity 1)  8 Pt 2.84, 4 Mn 2.93
Pt (0.0000, 0.5000, 0.5000) (multiplicity 2)  4 Hg 2.84, 4 Mn 2.84, 4 Pt 2.93

Properties
Its spin magnetization is 4.8 μB per formula unit. The value obtained for the density of states at the Fermi level is 1.10 states/eV/cell. The calculated formation energy comes out at -0.1566 eV/atom.

A plane-wave DFT calculation with PBE-GGA was carried out for an optimized crystal structure of MnHgPt4.

Lattice parameters (Å, degrees): 7.5145 7.5145 7.5145 90.00 90.00 90.00
Last column: nearest neighbours and their distance in Å.
Space group F-43m (No. 216)
Inequivalent atoms, fractional coordinates:
Mn (0.0000, 0.0000, 0.0000) (multiplicity 4)  12 Pt 3.12, 4 Hg 3.25
Hg (0.2500, 0.2500, 0.2500) (multiplicity 4)  12 Pt 3.12, 4 Mn 3.25
Pt (0.1250, 0.1250, 0.6250) (multiplicity 16)  6 Pt 2.66

Properties
Its spin magnetization is 4.2 μB per formula unit. The value obtained for the density of states at the Fermi level is 19.44 states/eV/cell. The calculated formation energy comes out at -0.0109 eV/atom.

Number 1: total energy -30.85 eV per cell. Number 2: total energy -49.03 eV per cell. Number 3: total energy -30.65 eV per cell. Number 4: total energy -72.39 eV per cell. Number 5: total energy -22.18 eV per cell. Number 6: total energy -134.80 eV per cell.